No. 1
The following is a DFT calculation (PBE-GGA) of a relaxed structure of Na2CeF5.

Structure (CIF):
```
data_Na2CeF5
_chemical_formula_sum 'Na2 Ce1 F5'
_space_group_name_H-M_alt 'P 1'
_space_group_IT_number 1
_cell_length_a 6.2673
_cell_length_b 6.3613
_cell_length_c 6.8124
_cell_angle_alpha 86.27
_cell_angle_beta 62.75
_cell_angle_gamma 89.82
loop_
_space_group_symop_operation_xyz
'x,y,z'
loop_
_atom_site_label
_atom_site_type_symbol
_atom_site_fract_x
_atom_site_fract_y
_atom_site_fract_z
_atom_site_occupancy
Na1 Na 0.0000 0.0000 0.0000 1
Na2 Na 0.4803 0.5058 0.0368 1
Ce1 Ce 0.3626 0.9918 0.2762 1
F1 F 0.1846 0.9869 0.6401 1
F2 F 0.2034 0.7662 0.1351 1
F3 F 0.2136 0.2277 0.1151 1
F4 F 0.6631 0.7664 0.1297 1
F5 F 0.6711 0.2275 0.1141 1
```

ΔE_f (raw) = -308.0 kJ/mol of atoms


No. 2
The following is a DFT calculation (PBE-GGA) of a relaxed structure of Pm2ScHg.

Structure (CIF):
```
data_Pm2ScHg
_chemical_formula_sum 'Pm2 Sc1 Hg1'
_space_group_name_H-M_alt 'P 4/m m m'
_space_group_IT_number 123
_space_group_name_Hall '-P 4 2'
_cell_length_a 5.5302
_cell_length_b 5.5302
_cell_length_c 3.6725
_cell_angle_alpha 90.00
_cell_angle_beta 90.00
_cell_angle_gamma 90.00
loop_
_atom_site_label
_atom_site_type_symbol
_atom_site_fract_x
_atom_site_fract_y
_atom_site_fract_z
_atom_site_occupancy
Pm1 Pm 0.0000 0.5000 0.0000 1
Sc1 Sc 0.0000 0.0000 0.5000 1
Hg1 Hg 0.5000 0.5000 0.5000 1
```

energy relative to the elements = -0.164 eV per atom


No. 3
The following is a DFT calculation (PBE-GGA) of a relaxed structure of BaTeP3.

Structure (CIF):
```
data_BaTeP3
_chemical_formula_sum 'Ba1 Te1 P3'
_space_group_name_H-M_alt 'P m -3 m'
_space_group_IT_number 221
_space_group_name_Hall '-P 4 2 3'
_cell_length_a 5.1928
_cell_length_b 5.1928
_cell_length_c 5.1928
_cell_angle_alpha 90.00
_cell_angle_beta 90.00
_cell_angle_gamma 90.00
loop_
_atom_site_label
_atom_site_type_symbol
_atom_site_fract_x
_atom_site_fract_y
_atom_site_fract_z
_atom_site_occupancy
Ba1 Ba 0.0000 0.0000 0.0000 1
Te1 Te 0.5000 0.5000 0.5000 1
P1 P 0.0000 0.5000 0.5000 1
```

ΔE_f (raw) = 24.4 kJ/mol of atoms


No. 4
The following is a DFT calculation (PBE-GGA) of a relaxed structure of Ba12Pd3Cl5.

Structure (CIF):
```
data_Ba12Pd3Cl5
_chemical_formula_sum 'Ba96 Pd24 Cl40'
_space_group_name_H-M_alt 'I a -3 d'
_space_group_IT_number 230
_space_group_name_Hall '-I 4bd 2c 3'
_cell_length_a 19.1560
_cell_length_b 19.1560
_cell_length_c 19.1560
_cell_angle_alpha 90.00
_cell_angle_beta 90.00
_cell_angle_gamma 90.00
loop_
_atom_site_label
_atom_site_type_symbol
_atom_site_fract_x
_atom_site_fract_y
_atom_site_fract_z
_atom_site_occupancy
Ba1 Ba 0.0237 0.0727 0.6525 1
Pd1 Pd 0.0000 0.2500 0.1250 1
Cl1 Cl 0.0000 0.0000 0.0000 1
Cl2 Cl 0.0000 0.2500 0.3750 1
```

ΔE_f (raw) = -88.0 kJ/mol of atoms


No. 5
The following is a DFT calculation (PBE-GGA) of a relaxed structure of Nd2Si2Cl.

Structure (CIF):
```
data_Nd2Si2Cl
_chemical_formula_sum 'Nd4 Si4 Cl2'
_space_group_name_H-M_alt 'C m m m'
_space_group_IT_number 65
_space_group_name_Hall '-C 2 2'
_cell_length_a 3.9386
_cell_length_b 16.3759
_cell_length_c 3.9688
_cell_angle_alpha 90.00
_cell_angle_beta 90.00
_cell_angle_gamma 90.00
loop_
_atom_site_label
_atom_site_type_symbol
_atom_site_fract_x
_atom_site_fract_y
_atom_site_fract_z
_atom_site_occupancy
Nd1 Nd 0.0000 0.1434 0.0000 1
Si1 Si 0.0000 0.2922 0.5000 1
Cl1 Cl 0.0000 0.0000 0.5000 1
```

ΔE_f (raw) = -104.8 kJ/mol of atoms


No. 6
The following is a DFT calculation (PBE-GGA) of a relaxed structure of NpGaI.

Structure (CIF):
```
data_NpGaI
_chemical_formula_sum 'Np4 Ga4 I4'
_space_group_name_H-M_alt 'C 1 2/m 1'
_space_group_IT_number 12
_cell_length_a 4.3386
_cell_length_b 7.2852
_cell_length_c 12.5680
_cell_angle_alpha 90.00
_cell_angle_beta 99.89
_cell_angle_gamma 90.00
loop_
_space_group_symop_operation_xyz
'x,y,z'
'-x,-y,-z'
'-x,y,-z'
'x,-y,z'
'x+1/2,y+1/2,z'
'-x+1/2,-y+1/2,-z'
'-x+1/2,y+1/2,-z'
'x+1/2,-y+1/2,z'
loop_
_atom_site_label
_atom_site_type_symbol
_atom_site_fract_x
_atom_site_fract_y
_atom_site_fract_z
_atom_site_occupancy
Np1 Np 0.0793 0.0000 0.1593 1
Ga1 Ga 0.0000 0.3317 0.0000 1
I1 I 0.1682 0.5000 0.3381 1
```

ΔE_f (raw) = -26.0 kJ/mol of atoms


No. 7
The following is a DFT calculation (PBE-GGA) of a relaxed structure of LiYSiNi.

Structure (CIF):
```
data_LiYSiNi
_chemical_formula_sum 'Li4 Y4 Si4 Ni4'
_space_group_name_H-M_alt 'F -4 3 m'
_space_group_IT_number 216
_space_group_name_Hall 'F -4 2 3'
_cell_length_a 6.2451
_cell_length_b 6.2451
_cell_length_c 6.2451
_cell_angle_alpha 90.00
_cell_angle_beta 90.00
_cell_angle_gamma 90.00
loop_
_atom_site_label
_atom_site_type_symbol
_atom_site_fract_x
_atom_site_fract_y
_atom_site_fract_z
_atom_site_occupancy
Li1 Li 0.0000 0.0000 0.0000 1
Y1 Y 0.2500 0.2500 0.2500 1
Si1 Si 0.2500 0.2500 0.7500 1
Ni1 Ni 0.0000 0.0000 0.5000 1
```

ΔE_f (raw) = -50.7 kJ/mol of atoms


No. 8
The following is a DFT calculation (PBE-GGA) of a relaxed structure of LaNdHoCd.

Structure (CIF):
```
data_LaNdHoCd
_chemical_formula_sum 'La4 Nd4 Ho4 Cd4'
_space_group_name_H-M_alt 'F -4 3 m'
_space_group_IT_number 216
_space_group_name_Hall 'F -4 2 3'
_cell_length_a 7.9199
_cell_length_b 7.9199
_cell_length_c 7.9199
_cell_angle_alpha 90.00
_cell_angle_beta 90.00
_cell_angle_gamma 90.00
loop_
_atom_site_label
_atom_site_type_symbol
_atom_site_fract_x
_atom_site_fract_y
_atom_site_fract_z
_atom_site_occupancy
La1 La 0.0000 0.0000 0.0000 1
Nd1 Nd 0.0000 0.0000 0.5000 1
Ho1 Ho 0.2500 0.2500 0.2500 1
Cd1 Cd 0.2500 0.2500 0.7500 1
```

energy relative to the elements = -0.056 eV per atom


Number 1: electronic total energy -5.433 eV per atom, theoretical density 1.94 g cm⁻³. Number 2: electronic total energy -4.197 eV per atom, theoretical density 7.92 g cm⁻³. Number 3: electronic total energy -4.006 eV per atom, theoretical density 4.24 g cm⁻³. Number 4: electronic total energy -3.306 eV per atom, theoretical density 4.05 g cm⁻³. Number 5: electronic total energy -5.532 eV per atom, theoretical density 4.93 g cm⁻³. Number 6: electronic total energy -6.109 eV per atom, theoretical density 7.36 g cm⁻³. Number 7: electronic total energy -5.421 eV per atom, theoretical density 4.98 g cm⁻³. Number 8: electronic total energy -3.853 eV per atom, theoretical density 7.49 g cm⁻³.